(1)
Li3TiNb | Alexandria via LeMat-Bulk | meta-GGA SCAN | PBEsol geometry; density of states at the Fermi level = 4.00 states/eV per cell; calculated formation energy = 6.655 eV per formula unit; V = 20.34 A^3/atom; E_tot = -9.9347 eV/atom; symmetry = Pm-3m, No. 221
1.0
-3.4008 -3.1976 -0.0214
2.4167 -2.5906 3.0396
-2.0940 2.2034 3.5427
Nb Li Ti
1 3 1
direct
0.0000 0.0000 0.0000 Nb
0.0000 0.5000 0.0000 Li
0.0000 0.0000 0.5000 Li
0.5000 0.0000 0.0000 Li
0.5000 0.5000 0.5000 Ti

(2)
HfTaTe2 | Alexandria via LeMat-Bulk | meta-GGA SCAN | PBEsol geometry; density of states at the Fermi level = 6.59 states/eV per cell; E_form (uncorrected) = 0.414 eV per atom; V = 23.48 A^3/atom; E_tot = -50.5258 eV/atom; symmetry = I-42d, No. 122
1.0
4.4457 0.0000 0.0000
0.0000 4.4457 0.0000
-2.2228 -2.2228 9.5052
Te Hf Ta
4 2 2
direct
0.3662 0.8750 0.2500 Te
0.8838 0.3750 0.2500 Te
0.1250 0.1162 0.7500 Te
0.6250 0.6338 0.7500 Te
0.7500 0.2500 0.5000 Hf
0.5000 0.5000 0.0000 Hf
0.2500 0.7500 0.5000 Ta
0.0000 0.0000 0.0000 Ta

(3)
SrOs | Alexandria via LeMat-Bulk | meta-GGA SCAN | PBEsol geometry; density of states at the Fermi level = 4.47 states/eV per cell; calculated formation energy = 2.737 eV per formula unit; V = 20.03 A^3/atom; E_tot = -45.7092 eV/atom; symmetry = P6_3/mmc, No. 194
1.0
3.0402 0.0000 0.0000
-1.5201 2.6329 0.0000
0.0000 0.0000 10.0085
Os Sr
2 2
direct
0.6667 0.3333 0.7500 Os
0.3333 0.6667 0.2500 Os
0.0000 0.0000 0.0000 Sr
0.0000 0.0000 0.5000 Sr

(4)
CsK2Cd2 | Alexandria via LeMat-Bulk | meta-GGA SCAN | PBEsol geometry; density of states at the Fermi level = 7.32 states/eV per cell; calculated formation energy = -0.116 eV per formula unit; V = 45.92 A^3/atom; E_tot = -23.0826 eV/atom; symmetry = P4/mbm, No. 127; energy above the most stable polymorph in this dataset = 0 kJ/mol of formula units
1.0
4.9934 0.0000 0.0000
0.0000 9.5898 0.0000
0.0000 0.0000 9.5898
Cs K Cd
2 4 4
direct
0.0000 0.0000 0.0000 Cs
0.0000 0.5000 0.5000 Cs
0.5000 0.1697 0.6697 K
0.5000 0.6697 0.8303 K
0.5000 0.8303 0.3303 K
0.5000 0.3303 0.1697 K
0.0000 0.3938 0.8938 Cd
0.0000 0.8938 0.6062 Cd
0.0000 0.6062 0.1062 Cd
0.0000 0.1062 0.3938 Cd

(5)
Co2ReRh | Alexandria via LeMat-Bulk | meta-GGA SCAN | PBEsol geometry; density of states at the Fermi level = 2.09 states/eV per cell; calculated formation energy = 0.255 eV per formula unit; V = 12.02 A^3/atom; E_tot = -34.8056 eV/atom; symmetry = I-4m2, No. 119; energy above the most stable polymorph in this dataset = 0 kJ/mol of formula units
1.0
-1.6940 -1.4921 -2.8252
2.4379 -2.6705 -0.0514
-2.4708 0.1211 3.7322
Re Rh Co
1 1 2
direct
0.5000 0.5000 0.0000 Re
0.2500 0.7500 0.5000 Rh
0.0000 0.0000 0.0000 Co
0.7500 0.2500 0.5000 Co

(6)
TeRhBr2 | Alexandria via LeMat-Bulk | meta-GGA SCAN | PBEsol geometry; density of states at the Fermi level = 4.44 states/eV per cell; E_form (uncorrected) = 0.086 eV per atom; V = 32.06 A^3/atom; E_tot = -27.3998 eV/atom; symmetry = I4_1/amd, No. 141
1.0
4.9613 0.0000 0.0000
2.4806 7.1896 0.0000
2.4806 0.0000 7.1896
Te Rh Br
2 2 4
direct
0.0000 0.0000 0.0000 Te
0.7500 0.5000 0.5000 Te
0.5000 0.0000 0.0000 Rh
0.2500 0.5000 0.5000 Rh
0.8750 0.7500 0.7500 Br
0.3750 0.2500 0.2500 Br
0.3750 0.7500 0.2500 Br
0.3750 0.2500 0.7500 Br

(7)
BeZnPt2 | Alexandria via LeMat-Bulk | meta-GGA SCAN | PBEsol geometry; density of states at the Fermi level = 0.94 states/eV per cell; calculated formation energy = -3.161 eV per formula unit; V = 12.61 A^3/atom; E_tot = -40.3541 eV/atom; symmetry = P4/mmm, No. 123; energy above the most stable polymorph in this dataset = 0 kJ/mol of formula units
1.0
2.7729 0.0000 0.0000
0.0000 2.7729 0.0000
0.0000 0.0000 6.5602
Be Zn Pt
1 1 2
direct
0.5000 0.5000 0.5000 Be
0.5000 0.5000 0.0000 Zn
0.0000 0.0000 0.7196 Pt
0.0000 0.0000 0.2804 Pt

(8)
InFe2Au | Alexandria via LeMat-Bulk | meta-GGA SCAN | PBEsol geometry; density of states at the Fermi level = 3.04 states/eV per cell; calculated formation energy = 0.354 eV per formula unit; V = 14.98 A^3/atom; E_tot = -34.6121 eV/atom; symmetry = Pmmm, No. 47
1.0
-1.2985 1.6313 -1.8927
-1.1227 -3.1692 -1.9613
-4.5880 -0.2105 2.9663
Au Fe In
1 2 1
direct
0.5000 0.5000 0.5000 Au
0.0000 0.0000 0.7389 Fe
0.0000 0.0000 0.2611 Fe
0.5000 0.5000 0.0000 In

(9)
AlCu2Ru | Alexandria via LeMat-Bulk | meta-GGA SCAN | PBEsol geometry; density of states at the Fermi level = 2.16 states/eV per cell; calculated formation energy = -0.944 eV per formula unit; V = 12.40 A^3/atom; E_tot = -18.4802 eV/atom; symmetry = P4mm, No. 99
1.0
-2.4789 -1.3818 -0.9403
1.2634 -0.4479 -2.6724
2.0306 -4.8489 1.7726
Al Cu Ru
1 2 1
direct
0.5000 0.5000 0.7500 Al
0.0000 0.0000 0.0098 Cu
0.5000 0.5000 0.2367 Cu
0.0000 0.0000 0.5036 Ru

(10)
Ba2CaMg | Alexandria via LeMat-Bulk | meta-GGA SCAN | PBEsol geometry; density of states at the Fermi level = 4.33 states/eV per cell; calculated formation energy = -0.002 eV per formula unit; V = 44.55 A^3/atom; E_tot = -23.4349 eV/atom; symmetry = P4mm, No. 99
1.0
-2.8826 -1.6723 -2.6088
2.7977 -2.9365 -1.2090
-3.1323 -5.9900 7.3007
Mg Ca Ba
1 1 2
direct
0.5000 0.5000 0.7197 Mg
0.0000 0.0000 0.5573 Ca
0.0000 0.0000 0.9443 Ba
0.5000 0.5000 0.2787 Ba

(11)
BaTa2Au | Alexandria via LeMat-Bulk | meta-GGA SCAN | PBEsol geometry; density of states at the Fermi level = 4.07 states/eV per cell; calculated formation energy = 4.358 eV per formula unit; V = 21.60 A^3/atom; E_tot = -59.3790 eV/atom; symmetry = Cmmm, No. 65; energy above the most stable polymorph in this dataset = 275 kJ/mol of formula units
1.0
-2.4630 0.1633 -1.4557
-2.9606 -1.4918 4.8417
1.0583 5.7063 -1.1506
Au Ba Ta
1 1 2
direct
0.5000 0.0000 0.0000 Au
0.5000 0.5000 0.0000 Ba
0.0000 0.5000 0.5000 Ta
0.0000 0.0000 0.5000 Ta

(12)
ZrCr2AsF | Alexandria via LeMat-Bulk | meta-GGA SCAN | PBEsol geometry; density of states at the Fermi level = 2.78 states/eV per cell; E_form (uncorrected) = 0.072 eV per atom; V = 19.36 A^3/atom; E_tot = -18.1675 eV/atom; symmetry = P4/mmm, No. 123
1.0
-1.7082 2.2280 -2.8148
-1.0049 -4.0664 -2.6088
-4.3411 -0.4095 2.3104
Cr As Zr F
2 1 1 1
direct
0.0000 0.0000 0.5000 Cr
0.0000 0.5000 0.0000 Cr
0.5000 0.5000 0.5000 As
0.0000 0.0000 0.0000 Zr
0.5000 0.0000 0.0000 F

(13)
CrCd2Au | Alexandria via LeMat-Bulk | meta-GGA SCAN | PBEsol geometry; density of states at the Fermi level = 1.51 states/eV per cell; calculated formation energy = -0.361 eV per formula unit; V = 17.73 A^3/atom; E_tot = -37.1828 eV/atom; symmetry = I-4m2, No. 119; energy above the most stable polymorph in this dataset = 0 kJ/mol of formula units
1.0
-3.4787 0.6611 -2.3122
-2.3590 -1.7281 3.0550
2.4808 4.0992 1.3073
Au Cd Cr
1 2 1
direct
0.2500 0.7500 0.5000 Au
0.5000 0.5000 0.0000 Cd
0.7500 0.2500 0.5000 Cd
0.0000 0.0000 0.0000 Cr

(14)
Mg2TiB2Ir5 | Alexandria via LeMat-Bulk | meta-GGA SCAN | PBEsol geometry; density of states at the Fermi level = 4.81 states/eV per cell; calculated formation energy = -7.519 eV per formula unit; V = 13.07 A^3/atom; E_tot = -40.3851 eV/atom; symmetry = P4/mbm, No. 127
1.0
2.9325 0.0000 0.0000
0.0000 9.4415 0.0000
0.0000 0.0000 9.4415
Mg Ti B Ir
4 2 4 10
direct
0.0000 0.8232 0.3232 Mg
0.0000 0.1768 0.6768 Mg
0.0000 0.3232 0.1768 Mg
0.0000 0.6768 0.8232 Mg
0.0000 0.5000 0.5000 Ti
0.0000 0.0000 0.0000 Ti
0.0000 0.6239 0.1239 B
0.0000 0.3761 0.8761 B
0.0000 0.1239 0.3761 B
0.0000 0.8761 0.6239 B
0.5000 0.5000 0.0000 Ir
0.5000 0.0000 0.5000 Ir
0.5000 0.7156 0.5706 Ir
0.5000 0.2844 0.4294 Ir
0.5000 0.2156 0.9294 Ir
0.5000 0.7844 0.0706 Ir
0.5000 0.4294 0.7156 Ir
0.5000 0.5706 0.2844 Ir
0.5000 0.0706 0.2156 Ir
0.5000 0.9294 0.7844 Ir

(15)
Cd2SiO4 | Alexandria via LeMat-Bulk | meta-GGA SCAN | PBEsol geometry; density of states at the Fermi level = 0.00 states/eV per cell; E_form (uncorrected) = -2.062 eV per atom; V = 12.55 A^3/atom; E_tot = -15.7435 eV/atom; symmetry = Fddd, No. 70
1.0
5.7661 0.0070 0.0000
-2.6381 5.1272 0.0000
-1.5640 -2.5671 5.9371
Cd Si O
4 2 8
direct
0.5650 0.4350 0.5000 Cd
0.9350 0.0650 0.5000 Cd
0.6850 0.3150 0.0000 Cd
0.3150 0.6850 0.0000 Cd
0.2500 0.7500 0.5000 Si
0.0000 0.0000 0.0000 Si
0.2734 0.5632 0.6485 O
0.9147 0.6249 0.3515 O
0.4368 0.7266 0.3515 O
0.3751 0.0853 0.6485 O
0.9766 0.1868 0.8515 O
0.3353 0.1251 0.1485 O
0.8749 0.6647 0.8515 O
0.8132 0.0234 0.1485 O

(16)
CrP2SeBr | Alexandria via LeMat-Bulk | meta-GGA SCAN | PBEsol geometry; density of states at the Fermi level = 3.63 states/eV per cell; E_form (uncorrected) = 1.358 eV per atom; V = 22.33 A^3/atom; E_tot = -14.3863 eV/atom; symmetry = P4/mmm, No. 123
1.0
-2.5378 -2.7675 2.7658
-2.7561 -1.2988 -3.8285
3.0422 -3.7180 -0.9288
Cr Se Br P
1 1 1 2
direct
0.5000 0.0000 0.0000 Cr
0.5000 0.5000 0.5000 Se
0.0000 0.0000 0.0000 Br
0.0000 0.0000 0.5000 P
0.0000 0.5000 0.0000 P

(17)
CaLaAs | Alexandria via LeMat-Bulk | meta-GGA SCAN | PBEsol geometry; density of states at the Fermi level = 1.29 states/eV per cell; calculated formation energy = -2.668 eV per formula unit; V = 30.34 A^3/atom; E_tot = -25.2091 eV/atom; symmetry = Fmm2, No. 42
1.0
3.7157 0.0264 -0.0003
-0.0329 3.7157 -0.0003
-1.8420 -1.8715 6.5919
As Ca La
1 1 1
direct
0.9951 0.9951 0.9902 As
0.6266 0.6266 0.2531 Ca
0.3783 0.3783 0.7567 La

(18)
Fe2Rh | Alexandria via LeMat-Bulk | meta-GGA SCAN | PBEsol geometry; density of states at the Fermi level = 4.27 states/eV per cell; calculated formation energy = -0.412 eV per formula unit; V = 12.08 A^3/atom; E_tot = -23.4809 eV/atom; symmetry = C2/m, No. 12
1.0
2.8308 0.0000 0.0000
-1.4154 4.5452 -0.0169
0.0000 -1.9620 5.6387
Fe Rh
4 2
direct
0.5079 0.0158 0.7356 Fe
0.1640 0.3281 0.5720 Fe
0.8360 0.6719 0.4280 Fe
0.4921 0.9842 0.2644 Fe
0.1601 0.3203 0.0955 Rh
0.8399 0.6797 0.9045 Rh

(19)
CrW | Alexandria via LeMat-Bulk | meta-GGA SCAN | PBEsol geometry; density of states at the Fermi level = 9.07 states/eV per cell; calculated formation energy = 0.189 eV per formula unit; V = 13.59 A^3/atom; E_tot = -43.9420 eV/atom; symmetry = P-1, No. 2
1.0
-3.7263 -3.1767 -0.9497
2.6828 -4.4734 -0.3539
0.3267 -3.4743 8.1391
Cr W
8 8
direct
0.3767 0.7524 0.3821 Cr
0.6233 0.2476 0.6179 Cr
0.8706 0.9965 0.3842 Cr
0.3766 0.5044 0.8699 Cr
0.6212 0.7598 0.6167 Cr
0.1294 0.0035 0.6158 Cr
0.3788 0.2402 0.3833 Cr
0.6234 0.4956 0.1301 Cr
0.8654 0.4923 0.3797 W
0.1340 0.7445 0.1318 W
0.8660 0.2555 0.8682 W
0.1346 0.5077 0.6203 W
0.8760 0.7501 0.8681 W
0.3750 0.0010 0.8661 W
0.1240 0.2499 0.1319 W
0.6250 0.9990 0.1339 W

(20)
Sc2TcAsPd | Alexandria via LeMat-Bulk | meta-GGA SCAN | PBEsol geometry; density of states at the Fermi level = 2.85 states/eV per cell; calculated formation energy = 1.670 eV per formula unit; V = 22.12 A^3/atom; E_tot = -22.9659 eV/atom; symmetry = P4/mmm, No. 123
1.0
4.5962 0.0000 0.0000
0.0000 4.9050 0.0000
0.0000 0.0000 4.9050
Sc As Tc Pd
2 1 1 1
direct
0.0000 0.0000 0.5000 Sc
0.0000 0.5000 0.0000 Sc
0.5000 0.5000 0.5000 As
0.0000 0.0000 0.0000 Tc
0.5000 0.0000 0.0000 Pd

(21)
LuCdRh2 | Alexandria via LeMat-Bulk | meta-GGA SCAN | PBEsol geometry; density of states at the Fermi level = 2.02 states/eV per cell; calculated formation energy = -2.863 eV per formula unit; V = 16.69 A^3/atom; E_tot = -39.0412 eV/atom; symmetry = Fm-3m, No. 225
1.0
-0.0523 -3.4614 2.9587
-1.0768 -4.1914 -1.4180
3.2073 -3.2259 -0.2128
Lu Rh Cd
1 2 1
direct
0.0000 0.0000 0.0000 Lu
0.2500 0.2500 0.2500 Rh
0.7500 0.7500 0.7500 Rh
0.5000 0.5000 0.5000 Cd

(22)
CoTeHN2 | Alexandria via LeMat-Bulk | meta-GGA SCAN | PBEsol geometry; density of states at the Fermi level = 3.43 states/eV per cell; V = 12.78 A^3/atom; E_tot = -14.1070 eV/atom; symmetry = P4/mmm, No. 123
1.0
3.4609 0.0000 0.0000
0.0000 3.4609 0.0000
0.0000 0.0000 5.3332
H Te Co N
1 1 1 2
direct
0.5000 0.5000 0.5000 H
0.0000 0.0000 0.5000 Te
0.0000 0.0000 0.0000 Co
0.0000 0.5000 0.0000 N
0.5000 0.0000 0.0000 N

(23)
BeHgW2 | Alexandria via LeMat-Bulk | meta-GGA SCAN | PBEsol geometry; density of states at the Fermi level = 2.08 states/eV per cell; calculated formation energy = 2.439 eV per formula unit; V = 14.92 A^3/atom; E_tot = -52.3642 eV/atom; symmetry = P4/mmm, No. 123; energy above the most stable polymorph in this dataset = 21 kJ/mol of formula units
1.0
-1.8350 -1.3700 1.9411
-1.5342 -1.1894 -2.2899
4.0005 -5.2743 0.0594
Be Hg W
1 1 2
direct
0.5000 0.5000 0.0000 Be
0.5000 0.5000 0.5000 Hg
0.0000 0.0000 0.8123 W
0.0000 0.0000 0.1877 W

(24)
BeZnRh2 | Alexandria via LeMat-Bulk | meta-GGA SCAN | PBEsol geometry; density of states at the Fermi level = 2.65 states/eV per cell; calculated formation energy = -0.983 eV per formula unit; V = 12.30 A^3/atom; E_tot = -21.5988 eV/atom; symmetry = I-4m2, No. 119; energy above the most stable polymorph in this dataset = 118 kJ/mol of formula units
1.0
3.5435 0.0000 0.0000
0.0000 3.5435 0.0000
-1.7717 -1.7717 3.9177
Be Zn Rh
1 1 2
direct
0.2500 0.7500 0.5000 Be
0.5000 0.5000 0.0000 Zn
0.0000 0.0000 0.0000 Rh
0.7500 0.2500 0.5000 Rh

(25)
TiIrSeN2 | Alexandria via LeMat-Bulk | meta-GGA SCAN | PBEsol geometry; density of states at the Fermi level = 2.79 states/eV per cell; E_form (uncorrected) = 0.499 eV per atom; V = 18.41 A^3/atom; E_tot = -24.6587 eV/atom; symmetry = P4/mmm, No. 123
1.0
-2.5625 0.5921 2.5807
-2.4181 -1.9864 -1.9453
1.9843 -5.6041 3.2561
N Ir Se Ti
2 1 1 1
direct
0.0000 0.5000 0.0000 N
0.5000 0.0000 0.0000 N
0.0000 0.0000 0.0000 Ir
0.0000 0.0000 0.5000 Se
0.5000 0.5000 0.5000 Ti

(26)
CaBr | Alexandria via LeMat-Bulk | meta-GGA SCAN | PBEsol geometry; density of states at the Fermi level = 2.37 states/eV per cell; E_form (uncorrected) = -1.256 eV per atom; V = 30.94 A^3/atom; E_tot = -15.8171 eV/atom; symmetry = I4_1/amd, No. 141
1.0
-1.2603 -2.4416 -3.1081
-0.3212 -3.1882 2.6348
-6.0389 4.6199 1.5882
Ca Br
2 2
direct
0.7500 0.2500 0.5000 Ca
0.5000 0.5000 0.0000 Ca
0.2500 0.7500 0.5000 Br
0.0000 0.0000 0.0000 Br

(27)
GaCuN3 | Alexandria via LeMat-Bulk | meta-GGA SCAN | PBEsol geometry; density of states at the Fermi level = 1.99 states/eV per cell; E_form (uncorrected) = 1.827 eV per atom; V = 10.67 A^3/atom; E_tot = -10.0565 eV/atom; symmetry = Pm-3m, No. 221
1.0
3.7646 0.0000 0.0000
0.0000 3.7646 0.0000
0.0000 0.0000 3.7646
Cu Ga N
1 1 3
direct
0.0000 0.0000 0.0000 Cu
0.5000 0.5000 0.5000 Ga
0.0000 0.5000 0.0000 N
0.0000 0.0000 0.5000 N
0.5000 0.0000 0.0000 N